No. 1
## Pm12Si6O (GGA-PBE)

Data for Pm12Si6O after structural relaxation.

The structure belongs to space group R-3 (No. 148, hexagonal axes); the cell edges are 12.5904, 12.5904 and 11.8738 Å and the angles 90.00°, 90.00° and 120.00°. The inequivalent atoms are Pm at (0.0350, 0.2070, 0.3912), Pm at (0.0468, 0.1912, 0.8825), Si at (0.0528, 0.4422, 0.3182) and O at (0.0000, 0.0000, 0.0000).

The value obtained for the density of states at the Fermi level is 19.45 states/eV/f.u. The calculation puts the raw total energy at -319.78 eV for the cell shown. As for the calculated volume: 28.60 Å³ per atom. For the spin magnetization, the calculation gives 0.00 μB per atom.

***

No. 2
## BaSr4Hg (GGA-PBE)

Data for BaSr4Hg after structural relaxation.

The structure belongs to space group F-43m (No. 216); the cell edges are 11.044, 11.044 and 11.044 Å and the angles 90.00°, 90.00° and 90.00°. The inequivalent atoms are Ba at (0.000, 0.000, 0.000), Sr at (0.125, 0.125, 0.375) and Hg at (0.250, 0.250, 0.750).

The value obtained for the density of states at the Fermi level is 5.42 states/eV/f.u. As for the calculated volume: 56.12 Å³ per atom. For the formation enthalpy at 0 K, the calculation gives 0.187 eV/atom. The energy above the most stable polymorph in this dataset comes out at 359 meV/atom. For the spin magnetization, the calculation gives 0.00 μB per atom.